# 1
A plane-wave DFT calculation with GGA-PBE was carried out for crystalline H12Pd6Pt at its relaxed geometry.

* Fermi-level density of states: 5.49 states/eV/cell
* total magnetic moment: 0.0 μB/f.u.
* final energy: -4.103 eV/atom
* ρ: 9249 kg/m3

Lattice parameters (Å, degrees): 8.2495 8.2495 7.7288 90.00 90.00 120.00
Closest atoms and distances in Å follow each position.
Space group R-3 (No. 148, hexagonal axes)
One atom of each set of equivalent atoms:
H: 0.0401 0.2256 0.4041 x18  4 Pd 1.85-1.96
H: 0.0459 0.2103 0.8951 x18  1 Pt 1.78, 1 Pd 1.86
Pd: 0.0420 0.2433 0.6577 x18  6 H 1.85-2.03
Pt: 0.0000 0.0000 0.0000 x3  6 H 1.78


# 2
A plane-wave DFT calculation with GGA-PBE was carried out for crystalline H4PdPt2 at its relaxed geometry.

* Fermi-level density of states: 8.06 states/eV/cell
* total magnetic moment: 0.0 μB/f.u.
* final energy: -4.314 eV/atom
* ρ: 12955 kg/m3

Lattice parameters (Å, degrees): 10.0544 5.5717 4.5818 90.00 90.00 90.00
Closest atoms and distances in Å follow each position.
Space group Pnma (No. 62)
One atom of each set of equivalent atoms:
H: 0.0920 0.2500 0.1437 x4  2 Pt 1.80, 1 Pd 1.93
H: 0.1312 0.0016 0.7036 x8  2 Pt 1.77-1.89, 1 Pd 1.93
H: 0.2342 0.7500 0.3398 x4  1 Pt 1.62, 1 Pd 1.77
Pd: 0.2131 0.2500 0.4713 x4  4 H 1.77-1.93
Pt: 0.0000 0.0000 0.0000 x4  4 H 1.80-1.89
Pt: 0.0876 0.7500 0.4889 x4  3 H 1.62-1.77


# 3
A plane-wave DFT calculation with GGA-PBE was carried out for crystalline H3PdPt at its relaxed geometry.

* Fermi-level density of states: 2.50 states/eV/cell
* total magnetic moment: 0.0 μB/f.u.
* final energy: -4.233 eV/atom
* ΔE to the lowest computed polymorph: 0.0 meV/atom
* ρ: 10248 kg/m3

Lattice parameters (Å, degrees): 2.7915 5.1986 6.9453 90.00 101.73 90.00
Closest atoms and distances in Å follow each position.
Space group P2_1/m (No. 11)
One atom of each set of equivalent atoms:
H: 0.1416 0.0679 0.2808 x4  1 Pt 1.71, 2 Pd 1.89, 1 H 1.89
H: 0.3129 0.2500 0.6300 x2  2 Pt 1.75
Pd: 0.4213 0.7500 0.8435 x2  4 H 1.89
Pt: 0.1086 0.7500 0.2152 x2  4 H 1.71-1.75


# 4
A plane-wave DFT calculation with GGA-PBE was carried out for crystalline HPd2Pt at its relaxed geometry.

* Fermi-level density of states: 17.48 states/eV/cell
* total magnetic moment: 0.0 μB/f.u.
* final energy: -4.991 eV/atom
* ΔE to the lowest computed polymorph: 9.5 meV/atom
* ρ: 13964 kg/m3

Lattice parameters (Å, degrees): 2.8211 2.8211 21.1664 90.00 90.00 120.00
Closest atoms and distances in Å follow each position.
Space group R3m (No. 160, hexagonal axes)
One atom of each set of equivalent atoms:
H: 0.0000 0.0000 0.0000 x3  6 Pd 1.96-2.10
Pd: 0.0000 0.0000 0.3847 x3  3 H 1.96
Pd: 0.0000 0.0000 0.6044 x3  3 H 2.10
Pt: 0.0000 0.0000 0.8284 x3  6 Pt 2.82, 6 Pd 2.83-2.85


# 5
A plane-wave DFT calculation with GGA-PBE was carried out for crystalline H8Pd5Pt at its relaxed geometry.

* Fermi-level density of states: 3.89 states/eV/cell
* total magnetic moment: 0.0 μB/f.u.
* final energy: -4.165 eV/atom
* ΔE to the lowest computed polymorph: 26.2 meV/atom
* ρ: 9947 kg/m3

Lattice parameters (Å, degrees): 6.5173 6.5173 5.7791 90.00 90.00 90.00
Closest atoms and distances in Å follow each position.
Space group I-4 (No. 82)
One atom of each set of equivalent atoms:
H: 0.0239 0.2269 0.3549 x8  3 Pd 1.78-1.89
H: 0.0911 0.2555 0.9418 x8  1 Pt 1.80, 2 Pd 1.89-1.94
Pd: 0.0000 0.5000 0.2500 x2  4 H 1.89
Pd: 0.1581 0.2457 0.6229 x8  4 H 1.78-1.94
Pt: 0.0000 0.0000 0.0000 x2  4 H 1.80


# 6
A plane-wave DFT calculation with GGA-PBE was carried out for crystalline H6PdPt3 at its relaxed geometry.

* Fermi-level density of states: 3.46 states/eV/cell
* total magnetic moment: 0.0 μB/f.u.
* final energy: -4.248 eV/atom
* ρ: 11257 kg/m3

Lattice parameters (Å, degrees): 8.1852 2.7738 9.0704 90.00 91.72 90.00
Closest atoms and distances in Å follow each position.
Space group P2_1/m (No. 11)
One atom of each set of equivalent atoms:
H: 0.0641 0.2500 0.4123 x2  3 Pt 1.80-1.92
H: 0.0955 0.2500 0.8562 x2  2 Pt 1.79
H: 0.2304 0.7500 0.6726 x2  3 Pt 1.79-1.85, 1 H 1.97
H: 0.3016 0.7500 0.2810 x2  2 Pt 1.83, 1 Pd 1.85
H: 0.3248 0.2500 0.9925 x2  2 Pt 1.91, 2 Pd 2.04
H: 0.3960 0.7500 0.5194 x2  3 Pt 1.81-1.94, 1 H 1.97
Pd: 0.4413 0.7500 0.1238 x2  3 H 1.85-2.04
Pt: 0.0963 0.2500 0.6095 x2  5 H 1.80-1.92
Pt: 0.2342 0.7500 0.8702 x2  5 H 1.79-1.91
Pt: 0.3859 0.2500 0.3915 x2  5 H 1.81-1.94


# 7
A plane-wave DFT calculation with GGA-PBE was carried out for crystalline H6Pd3Pt at its relaxed geometry.

* Fermi-level density of states: 8.50 states/eV/cell
* total magnetic moment: 0.0 μB/f.u.
* final energy: -4.158 eV/atom
* ρ: 10407 kg/m3

Lattice parameters (Å, degrees): 4.9318 4.9318 11.8257 90.00 90.00 120.00
Closest atoms and distances in Å follow each position.
Space group R3 (No. 146, hexagonal axes)
One atom of each set of equivalent atoms:
H: 0.0428 0.3402 0.0000 x9  1 Pt 1.80, 2 Pd 1.84-1.90
H: 0.0505 0.6928 0.5039 x9  1 Pt 1.81, 2 Pd 1.84-1.88
Pd: 0.0000 0.0000 0.1803 x3  3 H 1.84
Pd: 0.0000 0.0000 0.4282 x3  6 H 1.88-1.90
Pd: 0.0000 0.0000 0.6760 x3  3 H 1.84
Pt: 0.0000 0.0000 0.9272 x3  6 H 1.80-1.81


# 8
A plane-wave DFT calculation with GGA-PBE was carried out for crystalline H6Pd4Pt at its relaxed geometry.

* Fermi-level density of states: 5.73 states/eV/cell
* total magnetic moment: 0.0 μB/f.u.
* final energy: -4.298 eV/atom
* ρ: 10736 kg/m3

Lattice parameters (Å, degrees): 8.3046 4.7689 10.1775 90.00 105.82 90.00
Closest atoms and distances in Å follow each position.
Space group Cc (No. 9)
One atom of each set of equivalent atoms:
H: 0.0000 0.0026 0.0000 x4  1 Pt 1.83, 3 Pd 1.88-1.96
H: 0.0112 0.4968 0.4994 x4  1 Pt 1.83, 3 Pd 1.87-1.97
H: 0.1884 0.1206 0.8862 x4  4 Pd 1.81-2.00
H: 0.2150 0.3777 0.2940 x4  1 Pt 1.85, 3 Pd 1.85-1.99
H: 0.4043 0.0091 0.6908 x4  1 Pt 1.85, 3 Pd 1.89-1.93
H: 0.4156 0.4851 0.6944 x4  1 Pt 1.80, 3 Pd 1.93-1.94
Pd: 0.1504 0.2426 0.4424 x4  4 H 1.85-1.92
Pd: 0.2486 0.2481 0.7391 x4  4 H 1.81-1.94
Pd: 0.3448 0.2561 0.0422 x4  5 H 1.87-1.97
Pd: 0.4509 0.2467 0.3418 x4  6 H 1.92-2.00
Pt: 0.0545 0.2537 0.1416 x4  5 H 1.80-1.85


# 9
A plane-wave DFT calculation with GGA-PBE was carried out for crystalline H3PdPt3 at its relaxed geometry.

* Fermi-level density of states: 9.01 states/eV/cell
* total magnetic moment: 0.0 μB/f.u.
* final energy: -4.609 eV/atom
* ρ: 15292 kg/m3

Lattice parameters (Å, degrees): 5.3235 5.3235 5.3235 90.00 90.00 90.00
Closest atoms and distances in Å follow each position.
Space group Pm-3n (No. 223)
One atom of each set of equivalent atoms:
H: 0.0000 0.2500 0.5000 x6  4 Pt 1.88
Pd: 0.0000 0.0000 0.0000 x2  12 H 2.98, 12 Pt 2.98
Pt: 0.0000 0.5000 0.2500 x6  4 H 1.88


# 10
A plane-wave DFT calculation with GGA-PBE was carried out for crystalline HPd2Pt at its relaxed geometry.

* Fermi-level density of states: 5.06 states/eV/cell
* total magnetic moment: 0.0 μB/f.u.
* final energy: -4.938 eV/atom
* ΔE to the lowest computed polymorph: 62.4 meV/atom
* ρ: 13645 kg/m3

Lattice parameters (Å, degrees): 2.7815 4.4593 4.4734 65.08 82.69 82.97
Closest atoms and distances in Å follow each position.
Space group P1 (No. 1)
One atom of each set of equivalent atoms:
H: 0.0000 0.0000 0.0000 x1  2 Pt 1.86-1.87, 2 Pd 1.88-1.89
Pd: 0.1718 0.4257 0.9136 x1  1 H 1.88
Pd: 0.8286 0.0870 0.5750 x1  1 H 1.89
Pt: 0.4995 0.7409 0.2596 x1  2 H 1.86-1.87


# 11
A plane-wave DFT calculation with GGA-PBE was carried out for crystalline H7PdPt4 at its relaxed geometry.

* Fermi-level density of states: 7.20 states/eV/cell
* total magnetic moment: 0.0 μB/f.u.
* final energy: -4.302 eV/atom
* ρ: 13551 kg/m3

Lattice parameters (Å, degrees): 13.7764 5.7946 5.4882 90.00 90.00 90.00
Closest atoms and distances in Å follow each position.
Space group Cmcm (No. 63)
One atom of each set of equivalent atoms:
H: 0.0000 0.0478 0.2500 x4  2 Pt 1.76, 1 Pd 1.77
H: 0.1060 0.3057 0.0213 x16  2 Pt 1.76-1.80, 1 Pd 1.95
H: 0.2116 0.0435 0.2500 x8  3 Pt 1.80-1.82
Pd: 0.0000 0.3527 0.2500 x4  5 H 1.77-1.95
Pt: 0.1032 0.1298 0.7500 x8  4 H 1.76-1.80
Pt: 0.2039 0.5000 0.0000 x8  4 H 1.76-1.82


# 12
A plane-wave DFT calculation with GGA-PBE was carried out for crystalline HPd2Pt2 at its relaxed geometry.

* Fermi-level density of states: 19.19 states/eV/cell
* total magnetic moment: 0.0 μB/f.u.
* final energy: -5.037 eV/atom
* ΔE to the lowest computed polymorph: 144.5 meV/atom
* ρ: 14578 kg/m3

Lattice parameters (Å, degrees): 5.3038 5.3038 4.8917 90.00 90.00 90.00
Closest atoms and distances in Å follow each position.
Space group P4/mbm (No. 127)
One atom of each set of equivalent atoms:
H: 0.0000 0.0000 0.0000 x2  4 Pt 1.95
Pd: 0.1772 0.3228 0.5000 x4  5 Pd 2.66-2.76, 2 Pt 2.68
Pt: 0.1782 0.6782 0.0000 x4  2 H 1.95